## i
CrGa2Os: relaxed, PBE-GGA.

abc: 6.946 6.946 5.581
angles: 51.51 51.51 90.00
Positions (direct):
Cr: 0.500 0.500 0.000
Cr: 0.250 0.750 0.500
Os: 0.000 0.000 0.000
Os: 0.750 0.250 0.500
Ga: 0.632 0.125 0.250
Ga: 0.118 0.625 0.250
Ga: 0.375 0.368 0.750
Ga: 0.875 0.882 0.750

Values from the calculation:
Fermi-level density of states = 4.407 states/eV/f.u.
crystal system = tetragonal
symmetry = I-42d, No. 122

=====

## ii
CrGa2Os: relaxed, PBE-GGA.

abc: 4.310 4.310 4.310
angles: 60.00 60.00 60.00
Positions (direct):
Cr: 0.000 0.000 0.000
Os: 0.500 0.500 0.500
Ga: 0.250 0.250 0.250
Ga: 0.750 0.750 0.750

Values from the calculation:
Fermi-level density of states = 1.564 states/eV/f.u.
crystal system = cubic
symmetry = Fm-3m, No. 225

=====

Among the structures above, stability is smallest for i.